[1]
The following is a PBE calculation of an optimized crystal structure of Hf2Ta4As3C3, from the Open Quantum Materials Database.

The structure in POSCAR format:
```
Hf2Ta4As3C3
1.0
5.026 -2.906 0.000
5.026 2.906 0.000
-3.351 0.000 12.132
As C Hf Ta
6 6 4 8
Direct
0.073 0.927 0.250
0.240 0.416 0.750
0.416 0.240 0.250
0.760 0.584 0.250
0.927 0.073 0.750
0.584 0.760 0.750
0.165 0.668 0.500
0.332 0.835 0.000
0.668 0.165 0.000
0.500 0.000 0.500
0.000 0.500 0.000
0.835 0.332 0.500
0.466 0.631 0.399
0.534 0.369 0.601
0.631 0.466 0.899
0.369 0.534 0.101
0.697 0.863 0.093
0.200 0.029 0.593
0.137 0.303 0.407
0.971 0.800 0.907
0.863 0.697 0.593
0.800 0.971 0.407
0.029 0.200 0.093
0.303 0.137 0.907
```

[2]
The following is a PBE calculation of an optimized crystal structure of Hf4As3W2C3, from the Open Quantum Materials Database.

The structure in POSCAR format:
```
Hf4As3W2C3
1.0
5.046 -2.920 0.000
5.046 2.920 0.000
-3.333 0.000 12.166
Hf W As C
8 4 6 6
Direct
0.037 0.198 0.101
0.802 0.963 0.399
0.700 0.870 0.101
0.198 0.037 0.601
0.963 0.802 0.899
0.300 0.130 0.899
0.130 0.300 0.399
0.870 0.700 0.601
0.473 0.646 0.416
0.354 0.527 0.084
0.527 0.354 0.584
0.646 0.473 0.916
0.110 0.890 0.250
0.726 0.583 0.250
0.274 0.417 0.750
0.890 0.110 0.750
0.583 0.726 0.750
0.417 0.274 0.250
0.167 0.666 0.500
0.500 0.000 0.500
0.334 0.833 0.000
0.000 0.500 0.000
0.833 0.334 0.500
0.666 0.167 0.000
```

[3]
The following is a PBE calculation of an optimized crystal structure of Y4Hf2As3C3, from the Open Quantum Materials Database.

The structure in POSCAR format:
```
Y4Hf2As3C3
1.0
-4.064 -4.340 1.879
-1.308 -4.824 -3.728
11.770 -3.825 6.114
As Y C Hf
6 8 6 4
Direct
0.583 0.719 0.249
0.281 0.417 0.251
0.719 0.583 0.749
0.417 0.281 0.751
0.886 0.114 0.250
0.114 0.886 0.750
0.200 0.038 0.105
0.701 0.873 0.605
0.962 0.800 0.395
0.873 0.701 0.105
0.800 0.962 0.895
0.127 0.299 0.895
0.299 0.127 0.395
0.038 0.200 0.605
0.201 0.649 0.000
0.351 0.799 0.500
0.649 0.201 0.500
0.500 0.000 0.000
0.799 0.351 0.000
0.000 0.500 0.500
0.470 0.640 0.912
0.360 0.530 0.588
0.640 0.470 0.412
0.530 0.360 0.088
```

[4]
The following is a PBE calculation of an optimized crystal structure of YHfAsC, from the Open Quantum Materials Database.

The structure in POSCAR format:
```
YHfAsC
1.0
-3.532 -0.419 -0.394
2.243 -2.534 -1.163
-0.600 -5.866 11.624
C Y Hf As
2 2 2 2
Direct
0.000 0.000 0.500
0.000 0.000 0.000
0.667 0.333 0.394
0.333 0.667 0.606
0.667 0.333 0.095
0.333 0.667 0.905
0.667 0.333 0.768
0.333 0.667 0.232
```

[5]
The following is a PBE calculation of an optimized crystal structure of Nb4InAsC2, from the Open Quantum Materials Database.

The structure in POSCAR format:
```
Nb4InAsC2
1.0
3.268 0.000 0.000
-1.634 2.831 0.000
0.000 0.000 13.272
Nb As C In
4 1 2 1
Direct
0.667 0.333 0.143
0.667 0.333 0.857
0.000 0.000 0.319
0.000 0.000 0.681
0.000 0.000 0.000
0.333 0.667 0.766
0.333 0.667 0.234
0.667 0.333 0.500
```

[6]
The following is a PBE calculation of an optimized crystal structure of Ta4InAsC2, from the Open Quantum Materials Database.

The structure in POSCAR format:
```
Ta4InAsC2
1.0
-1.353 2.676 1.239
-1.378 -1.492 -2.530
-7.157 -7.458 8.294
In Ta C As
1 4 2 1
Direct
0.667 0.333 0.500
0.667 0.333 0.857
0.000 0.000 0.320
0.667 0.333 0.143
0.000 0.000 0.680
0.333 0.667 0.234
0.333 0.667 0.766
0.000 0.000 0.000
```

[7]
The following is a PBE calculation of an optimized crystal structure of Zr4InAsC2, from the Open Quantum Materials Database.

The structure in POSCAR format:
```
Zr4InAsC2
1.0
3.415 0.000 0.000
-1.708 2.958 0.000
0.000 0.000 13.948
C Zr As In
2 4 1 1
Direct
0.000 0.000 0.233
0.000 0.000 0.767
0.333 0.667 0.321
0.667 0.333 0.859
0.667 0.333 0.141
0.333 0.667 0.679
0.333 0.667 0.000
0.667 0.333 0.500
```

[8]
The following is a PBE calculation of an optimized crystal structure of Lu4AsC3, from the Open Quantum Materials Database.

The structure in POSCAR format:
```
Lu4AsC3
1.0
3.493 0.000 0.000
-1.746 3.025 0.000
0.000 0.000 25.517
C As Lu
6 2 8
Direct
0.667 0.333 0.115
0.333 0.667 0.885
0.000 0.000 0.500
0.667 0.333 0.385
0.000 0.000 0.000
0.333 0.667 0.615
0.333 0.667 0.250
0.667 0.333 0.750
0.000 0.000 0.163
0.333 0.667 0.443
0.667 0.333 0.557
0.000 0.000 0.837
0.667 0.333 0.943
0.000 0.000 0.663
0.000 0.000 0.337
0.333 0.667 0.057
```

[9]
The following is a PBE calculation of an optimized crystal structure of Lu4Mo2As3C3, from the Open Quantum Materials Database.

The structure in POSCAR format:
```
Lu4Mo2As3C3
1.0
5.111 -2.974 0.000
5.111 2.974 0.000
-3.360 0.000 12.890
Lu As C Mo
8 6 6 4
Direct
0.042 0.192 0.603
0.701 0.878 0.604
0.122 0.299 0.896
0.808 0.958 0.897
0.878 0.701 0.104
0.299 0.122 0.396
0.192 0.042 0.103
0.958 0.808 0.397
0.703 0.587 0.750
0.140 0.860 0.750
0.860 0.140 0.250
0.297 0.413 0.250
0.413 0.297 0.750
0.587 0.703 0.250
0.191 0.654 0.000
0.346 0.809 0.500
0.809 0.346 0.000
0.000 0.500 0.500
0.654 0.191 0.500
0.500 0.000 0.000
0.346 0.525 0.578
0.475 0.654 0.922
0.654 0.475 0.422
0.525 0.346 0.078
```

[10]
The following is a PBE calculation of an optimized crystal structure of Lu2Mo4As3C3, from the Open Quantum Materials Database.

The structure in POSCAR format:
```
Lu2Mo4As3C3
1.0
-0.861 3.650 4.279
0.296 -1.875 5.364
12.499 2.097 -2.661
Lu Mo As C
4 8 6 6
Direct
0.628 0.467 0.389
0.533 0.372 0.111
0.372 0.533 0.611
0.467 0.628 0.889
0.799 0.994 0.918
0.201 0.006 0.082
0.699 0.842 0.580
0.158 0.301 0.920
0.994 0.799 0.418
0.301 0.158 0.420
0.842 0.699 0.080
0.006 0.201 0.582
0.043 0.957 0.750
0.199 0.428 0.256
0.957 0.043 0.250
0.428 0.199 0.756
0.801 0.572 0.744
0.572 0.801 0.244
0.330 0.845 0.502
0.000 0.500 0.500
0.155 0.670 0.998
0.500 0.000 0.000
0.845 0.330 0.002
0.670 0.155 0.498
```

[11]
The following is a PBE calculation of an optimized crystal structure of Lu3AsCN, from the Open Quantum Materials Database.

The structure in POSCAR format:
```
Lu3AsCN
1.0
-2.940 1.662 0.812
-0.034 -2.525 -2.385
-3.513 -12.926 13.739
Lu N As C
6 2 2 2
Direct
0.000 0.000 0.000
0.333 0.667 0.858
0.667 0.333 0.142
0.333 0.667 0.637
0.667 0.333 0.363
0.000 0.000 0.500
0.667 0.333 0.572
0.333 0.667 0.428
0.000 0.000 0.744
0.000 0.000 0.256
0.333 0.667 0.079
0.667 0.333 0.921
```

[12]
The following is a PBE calculation of an optimized crystal structure of Lu2Nb4As3C3, from the Open Quantum Materials Database.

The structure in POSCAR format:
```
Lu2Nb4As3C3
1.0
5.081 -2.934 0.000
5.081 2.934 0.000
-3.379 0.000 12.540
As Nb C Lu
6 8 6 4
Direct
0.584 0.771 0.751
0.938 0.062 0.750
0.062 0.938 0.250
0.229 0.416 0.749
0.416 0.229 0.249
0.771 0.584 0.251
0.697 0.858 0.091
0.203 0.025 0.591
0.142 0.303 0.409
0.025 0.203 0.091
0.797 0.975 0.409
0.858 0.697 0.591
0.975 0.797 0.909
0.303 0.142 0.909
0.500 0.000 0.500
0.155 0.672 0.500
0.672 0.155 0.000
0.000 0.500 0.000
0.328 0.845 0.000
0.845 0.328 0.500
0.535 0.375 0.606
0.465 0.625 0.394
0.375 0.535 0.106
0.625 0.465 0.894
```

Number 1: total moment 0.0 μB per formula unit, raw total energy -9.8291 eV per atom. Number 2: total moment 0.0 μB per formula unit, raw total energy -9.6330 eV per atom. Number 3: total moment 0.0 μB per formula unit, raw total energy -8.1137 eV per atom. Number 4: total moment 0.0 μB per formula unit, raw total energy -8.3966 eV per atom. Number 5: total moment 0.0 μB per formula unit, raw total energy -8.7937 eV per atom. Number 6: total moment 0.0 μB per formula unit, raw total energy -9.6288 eV per atom. Number 7: total moment 0.0 μB per formula unit, raw total energy -8.3267 eV per atom. Number 8: total moment 0.0 μB per formula unit, raw total energy -6.7348 eV per atom. Number 9: total moment 0.0 μB per formula unit, raw total energy -7.4017 eV per atom. Number 10: total moment 0.0 μB per formula unit, raw total energy -8.2242 eV per atom. Number 11: total moment 0.0 μB per formula unit, raw total energy -7.0309 eV per atom. Number 12: total moment 0.0 μB per formula unit, raw total energy -8.2648 eV per atom.